This record from the Alexandria database describes CrFeNiIr after structural relaxation. The functional is GGA-PBE.

abc: 5.8335 5.8335 5.8335
angles: 90.00 90.00 90.00
Space group F-43m (No. 216)
Unique sites:
Cr 0.0000 0.0000 0.0000
Fe 0.2500 0.2500 0.7500
Ni 0.0000 0.0000 0.5000
Ir 0.2500 0.2500 0.2500

Computed properties:
Calculated formation energy, eV per atom: 0.0785
Crystal system: cubic
Magnetization, μB/f.u.: 1.2
Volume, Å³/cell: 198.5